Compound: RuPb3
Source: Alexandria
Functional: PBE
Structure: optimized geometry

Output
- D(E_F): 2.31 states/eV/f.u.
- DFT total energy: -4.701 eV per atom
- Total moment: 0.000 μB/atom

abc: 6.6262 14.4920 4.4651
angles: 90.00 90.00 90.00
Element x y z (fractional)
Ru1 0.0000 0.0795 0.2500
Ru2 0.0000 0.9205 0.7500
Ru3 0.5000 0.4205 0.7500
Ru4 0.5000 0.5795 0.2500
Pb1 0.0000 0.2646 0.7500
Pb2 0.0000 0.7354 0.2500
Pb3 0.2382 0.4191 0.2500
Pb4 0.2382 0.5809 0.7500
Pb5 0.2618 0.0809 0.7500
Pb6 0.2618 0.9191 0.2500
Pb7 0.5000 0.2354 0.2500
Pb8 0.5000 0.7646 0.7500
Pb9 0.7382 0.0809 0.7500
Pb10 0.7382 0.9191 0.2500
Pb11 0.7618 0.4191 0.2500
Pb12 0.7618 0.5809 0.7500

***

Compound: RuPb
Source: Alexandria
Functional: PBE
Structure: optimized geometry

Output
- D(E_F): 1.35 states/eV/f.u.
- DFT total energy: -5.830 eV per atom
- Total moment: 0.000 μB/atom

abc: 10.7563 10.7563 4.1520
angles: 90.00 90.00 90.00
Element x y z (fractional)
Ru1 0.2111 0.2836 0.0000
Ru2 0.2164 0.7111 0.5000
Ru3 0.2836 0.7889 0.0000
Ru4 0.2889 0.2164 0.5000
Ru5 0.7111 0.7836 0.5000
Ru6 0.7164 0.2111 0.0000
Ru7 0.7836 0.2889 0.5000
Ru8 0.7889 0.7164 0.0000
Pb1 0.0290 0.2881 0.5000
Pb2 0.2119 0.5290 0.0000
Pb3 0.2881 0.9710 0.5000
Pb4 0.4710 0.2119 0.0000
Pb5 0.5290 0.7881 0.0000
Pb6 0.7119 0.0290 0.5000
Pb7 0.7881 0.4710 0.0000
Pb8 0.9710 0.7119 0.5000

***

Compound: RuPb
Source: Alexandria
Functional: PBE
Structure: optimized geometry

Output
- D(E_F): 1.33 states/eV/f.u.
- DFT total energy: -5.956 eV per atom
- Total moment: 0.000 μB/atom

abc: 10.1458 3.2031 5.0654
angles: 90.00 110.87 90.00
Element x y z (fractional)
Ru1 0.1437 0.0000 0.3092
Ru2 0.3563 0.5000 0.6908
Ru3 0.6437 0.5000 0.3092
Ru4 0.8563 0.0000 0.6908
Pb1 0.1082 0.5000 0.8065
Pb2 0.3918 0.0000 0.1935
Pb3 0.6082 0.0000 0.8065
Pb4 0.8918 0.5000 0.1935

***

Compound: Ru5Pb3
Source: Alexandria
Functional: PBE
Structure: optimized geometry

Output
- D(E_F): 6.42 states/eV/f.u.
- DFT total energy: -6.732 eV per atom
- Total moment: 0.000 μB/atom

abc: 4.7520 8.4315 8.7167
angles: 73.28 78.58 74.36
Element x y z (fractional)
Ru1 0.0458 0.2522 0.2596
Ru2 0.1935 0.2276 0.9606
Ru3 0.2502 0.5276 0.9626
Ru4 0.3108 0.6858 0.1628
Ru5 0.4404 0.3595 0.3064
Ru6 0.5596 0.6405 0.6936
Ru7 0.6892 0.3142 0.8372
Ru8 0.7498 0.4724 0.0374
Ru9 0.8065 0.7724 0.0394
Ru10 0.9542 0.7478 0.7404
Pb1 0.2025 0.4244 0.6352
Pb2 0.2073 0.8644 0.4135
Pb3 0.3128 0.9306 0.8475
Pb4 0.6872 0.0694 0.1525
Pb5 0.7927 0.1356 0.5865
Pb6 0.7975 0.5756 0.3648

***

Compound: RuPb
Source: Alexandria
Functional: PBE
Structure: optimized geometry

Output
- D(E_F): 2.85 states/eV/f.u.
- DFT total energy: -5.968 eV per atom
- Total moment: 0.001 μB/atom

abc: 3.6270 3.6270 7.3276
angles: 90.00 90.00 90.00
Element x y z (fractional)
Ru1 0.2500 0.7500 0.0000
Ru2 0.7500 0.2500 0.0000
Pb1 0.2500 0.2500 0.3092
Pb2 0.7500 0.7500 0.6908

***

Compound: RuPb3
Source: Alexandria
Functional: PBE
Structure: optimized geometry

Output
- D(E_F): 3.52 states/eV/f.u.
- DFT total energy: -4.437 eV per atom
- Total moment: 0.000 μB/atom

abc: 9.8724 9.8724 3.5868
angles: 90.00 90.00 120.00
Element x y z (fractional)
Ru1 0.0000 0.0000 0.0000
Ru2 0.3333 0.6667 0.6667
Ru3 0.6667 0.3333 0.3333
Pb1 0.0000 0.5000 0.0000
Pb2 0.1667 0.3333 0.3333
Pb3 0.1667 0.8333 0.3333
Pb4 0.3333 0.1667 0.6667
Pb5 0.5000 0.0000 0.0000
Pb6 0.5000 0.5000 0.0000
Pb7 0.6667 0.8333 0.3333
Pb8 0.8333 0.1667 0.6667
Pb9 0.8333 0.6667 0.6667

***

Compound: RuPb3
Source: Alexandria
Functional: PBE
Structure: optimized geometry

Output
- D(E_F): 3.85 states/eV/f.u.
- DFT total energy: -4.530 eV per atom
- Total moment: 0.000 μB/atom

abc: 7.5881 7.5881 8.4914
angles: 90.00 90.00 120.00
Element x y z (fractional)
Ru1 0.0000 0.0000 0.0000
Ru2 0.0000 0.0000 0.5000
Ru3 0.3333 0.6667 0.2500
Ru4 0.6667 0.3333 0.7500
Pb1 0.0000 0.5000 0.0000
Pb2 0.0000 0.5000 0.5000
Pb3 0.1419 0.2838 0.7500
Pb4 0.1419 0.8581 0.7500
Pb5 0.2838 0.1419 0.2500
Pb6 0.5000 0.0000 0.0000
Pb7 0.5000 0.0000 0.5000
Pb8 0.5000 0.5000 0.0000
Pb9 0.5000 0.5000 0.5000
Pb10 0.7162 0.8581 0.7500
Pb11 0.8581 0.1419 0.2500
Pb12 0.8581 0.7162 0.2500

***

Compound: RuPb3
Source: Alexandria
Functional: PBE
Structure: optimized geometry

Output
- D(E_F): 5.77 states/eV/f.u.
- DFT total energy: -4.615 eV per atom
- Total moment: 0.215 μB/atom

abc: 5.3247 5.3247 5.3247
angles: 90.00 90.00 90.00
Element x y z (fractional)
Ru1 0.0000 0.0000 0.0000
Pb1 0.0000 0.0000 0.5000
Pb2 0.0000 0.5000 0.0000
Pb3 0.5000 0.0000 0.0000

***

Compound: RuPb3
Source: Alexandria
Functional: PBE
Structure: optimized geometry

Output
- D(E_F): 4.36 states/eV/f.u.
- DFT total energy: -4.755 eV per atom
- Total moment: 0.000 μB/atom

abc: 3.4200 3.4200 10.1563
angles: 90.00 90.00 120.00
Element x y z (fractional)
Ru1 0.0000 0.0000 0.0000
Pb1 0.0000 0.0000 0.5000
Pb2 0.3333 0.6667 0.1994
Pb3 0.3333 0.6667 0.8006

***

Compound: RuPb
Source: Alexandria
Functional: PBE
Structure: optimized geometry

Output
- D(E_F): 1.18 states/eV/f.u.
- DFT total energy: -6.064 eV per atom
- Total moment: 0.000 μB/atom

abc: 4.0010 4.0010 20.8274
angles: 90.00 90.00 120.00
Element x y z (fractional)
Ru1 0.0000 0.0000 0.1519
Ru2 0.0000 0.0000 0.8481
Ru3 0.3333 0.6667 0.5147
Ru4 0.3333 0.6667 0.8186
Ru5 0.6667 0.3333 0.1814
Ru6 0.6667 0.3333 0.4853
Pb1 0.0000 0.0000 0.3976
Pb2 0.0000 0.0000 0.6024
Pb3 0.3333 0.6667 0.0642
Pb4 0.3333 0.6667 0.2691
Pb5 0.6667 0.3333 0.7309
Pb6 0.6667 0.3333 0.9358

***

Compound: RuPb
Source: Alexandria
Functional: PBE
Structure: optimized geometry

Output
- D(E_F): 1.53 states/eV/f.u.
- DFT total energy: -6.071 eV per atom
- Total moment: 0.000 μB/atom

abc: 8.2829 8.2829 4.4640
angles: 90.00 90.00 120.00
Element x y z (fractional)
Ru1 0.1242 0.5534 0.2500
Ru2 0.4292 0.8758 0.2500
Ru3 0.4466 0.5708 0.2500
Ru4 0.5534 0.4292 0.7500
Ru5 0.5708 0.1242 0.7500
Ru6 0.8758 0.4466 0.7500
Pb1 0.1805 0.3635 0.7500
Pb2 0.1830 0.8194 0.7500
Pb3 0.3635 0.1830 0.2500
Pb4 0.6365 0.8170 0.7500
Pb5 0.8170 0.1805 0.2500
Pb6 0.8194 0.6365 0.2500

***

Compound: RuPb
Source: Alexandria
Functional: PBE
Structure: optimized geometry

Output
- D(E_F): 2.68 states/eV/f.u.
- DFT total energy: -5.790 eV per atom
- Total moment: 0.391 μB/atom

abc: 3.9356 3.9356 10.1342
angles: 90.00 90.00 90.00
Element x y z (fractional)
Ru1 0.0000 0.2500 0.3750
Ru2 0.0000 0.7500 0.6250
Ru3 0.5000 0.2500 0.1250
Ru4 0.5000 0.7500 0.8750
Pb1 0.0000 0.2500 0.8750
Pb2 0.0000 0.7500 0.1250
Pb3 0.5000 0.2500 0.6250
Pb4 0.5000 0.7500 0.3750

***

no.,mass density (g cm⁻³),DFT formation energy (eV/atom)
1,11.2,0.40
2,8.5,0.66
3,13.3,0.54
4,11.7,0.46
5,10.6,0.52
6,11.9,0.66
7,11.3,0.57
8,7.9,0.49
9,11.7,0.35
10,10.6,0.43
11,11.6,0.42
12,13.0,0.70